Record 1
Compound: ReSiIr2
Source: the Alexandria database
Functional: PBE
Structure: optimized geometry

magnetic moment	0.0	μB/f.u.
formation energy (no corrections)	-0.2450	eV/atom
density	17.8	Mg/m³
SG	P4/mmm, No. 123
energy	-9.14	eV/atom

Unit cell a=2.779 b=2.779 c=7.229 alpha=90.00 beta=90.00 gamma=90.01
Sites, in units of the cell vectors:
Ir  0.000  0.000  0.979
Ir  0.000  0.000  0.521
Re  0.500  0.500  0.250
Si  0.500  0.500  0.750

***

Record 2
Compound: Zn2CoPt2
Source: the Alexandria database
Functional: PBE
Structure: optimized geometry

magnetic moment	2.0	μB/f.u.
E above lowest polymorph	0.15	eV/f.u.
density	12.7	Mg/m³
SG	P4/mbm, No. 127
energy	-4.46	eV/atom
ΔE_f	-0.114	eV per atom

Unit cell a=7.289 b=7.289 c=2.853 alpha=90.00 beta=90.00 gamma=90.00
Last column: magnetic moment on the atom in μB.
Sites, in units of the cell vectors:
Zn  0.156  0.656  0.500  0.00
Zn  0.656  0.844  0.500  0.00
Zn  0.844  0.344  0.500  0.00
Zn  0.344  0.156  0.500  0.00
Co  0.000  0.000  0.000  1.97
Co  0.500  0.500  0.000  1.97
Pt  0.357  0.857  0.000  0.05
Pt  0.857  0.643  0.000  0.05
Pt  0.643  0.143  0.000  0.05
Pt  0.143  0.357  0.000  0.05

***

Record 3
Compound: ErTm5Rh6
Source: the Alexandria database
Functional: PBE
Structure: optimized geometry

magnetic moment	0.0	μB/f.u.
density	11.7	Mg/m³
SG	P2/m, No. 10
energy	-6.89	eV/atom
ΔE_f	-0.966	eV per atom

Unit cell a=4.763 b=6.804 c=7.541 alpha=90.00 beta=71.53 gamma=90.00
Sites, in units of the cell vectors:
Tm  0.667  0.500  0.667
Tm  0.333  0.000  0.334
Tm  0.000  0.500  0.000
Tm  0.667  0.000  0.666
Tm  0.333  0.500  0.333
Rh  0.833  0.750  0.334
Rh  0.833  0.250  0.334
Rh  0.500  0.251  0.000
Rh  0.500  0.749  0.000
Rh  0.167  0.750  0.666
Rh  0.167  0.250  0.666
Er  0.000  0.000  0.000